Compound: Ca2SiGePd6
Source: Alexandria
Functional: PBE-GGA
Structure: relaxed

Cell and atoms, written as POSCAR:
```
Ca2SiGePd6
1.0
-3.303 3.303 4.664
3.303 -3.303 4.664
3.303 3.303 -4.664
Ca Si Ge Pd
2 1 1 6
Cartesian
3.303 0.000 2.332
0.000 3.303 2.332
0.000 0.000 0.000
0.000 0.000 4.664
0.000 0.000 2.281
1.616 1.616 0.000
1.687 -1.687 4.664
-1.687 1.687 4.664
0.000 0.000 7.047
1.687 1.687 4.664
```

V   203.5 Å³ per cell
Total moment   0.000 μB/f.u.
Theoretical density   6685 kg/m³
Uncorrected energy   -50.3 eV for the cell shown